Density functional theory data (PBE) for a relaxed Er4Zn5Ge6 crystal.

Values from the calculation:
E_tot   -60.36 eV per formula unit
Calculated volume   592.9 Å³/cell

Cell lengths 9.479, 9.479, 15.210 Å; angles 90.00, 90.00, 154.29 degrees
Fractional positions:
Er 0.018 0.982 0.500
Er 0.032 0.968 0.764
Er 0.167 0.833 0.304
Er 0.175 0.825 0.945
Er 0.825 0.175 0.445
Er 0.833 0.167 0.804
Er 0.968 0.032 0.264
Er 0.982 0.018 0.000
Zn 0.152 0.848 0.627
Zn 0.301 0.699 0.624
Zn 0.345 0.655 0.273
Zn 0.350 0.650 0.981
Zn 0.435 0.565 0.685
Zn 0.565 0.435 0.185
Zn 0.650 0.350 0.481
Zn 0.655 0.345 0.773
Zn 0.699 0.301 0.124
Zn 0.848 0.152 0.127
Ge 0.112 0.888 0.117
Ge 0.224 0.776 0.485
Ge 0.229 0.771 0.766
Ge 0.431 0.569 0.408
Ge 0.433 0.567 0.129
Ge 0.440 0.560 0.854
Ge 0.560 0.440 0.354
Ge 0.567 0.433 0.629
Ge 0.569 0.431 0.908
Ge 0.771 0.229 0.266
Ge 0.776 0.224 0.985
Ge 0.888 0.112 0.617

=====

Density functional theory data (PBE) for a relaxed ErZnGe crystal.

Values from the calculation:
E_tot   -12.38 eV per formula unit
Calculated volume   238.0 Å³/cell

Cell lengths 4.211, 4.211, 15.492 Å; angles 90.00, 90.00, 120.00 degrees
Fractional positions:
Er 0.000 0.000 0.000
Er 0.000 0.000 0.250
Er 0.000 0.000 0.500
Er 0.000 0.000 0.750
Zn 0.333 0.667 0.148
Zn 0.333 0.667 0.352
Zn 0.667 0.333 0.648
Zn 0.667 0.333 0.852
Ge 0.333 0.667 0.613
Ge 0.333 0.667 0.887
Ge 0.667 0.333 0.113
Ge 0.667 0.333 0.387

=====

Density functional theory data (PBE) for a relaxed ErZnGe crystal.

Values from the calculation:
E_tot   -11.47 eV per formula unit
Calculated volume   65.6 Å³/cell

Cell lengths 4.527, 4.527, 4.527 Å; angles 60.00, 60.00, 60.00 degrees
Fractional positions:
Er 0.000 0.000 0.000
Zn 0.500 0.500 0.500
Ge 0.250 0.250 0.250

=====

Density functional theory data (PBE) for a relaxed ErZrGe crystal.

Values from the calculation:
E_tot   -18.88 eV per formula unit
Calculated volume   72.7 Å³/cell

Cell lengths 4.685, 4.685, 4.685 Å; angles 60.00, 60.00, 60.00 degrees
Fractional positions:
Er 0.000 0.000 0.000
Zr 0.500 0.500 0.500
Ge 0.250 0.250 0.250

=====

Density functional theory data (PBE) for a relaxed Er2H crystal.

Values from the calculation:
E_tot   -11.11 eV per formula unit
Calculated volume   63.4 Å³/cell

Cell lengths 4.476, 4.476, 4.476 Å; angles 60.00, 60.00, 60.00 degrees
Fractional positions:
Er 0.250 0.250 0.250
Er 0.750 0.750 0.750
H 0.000 0.000 0.000

=====

Density functional theory data (PBE) for a relaxed Er2H5 crystal.

Values from the calculation:
E_tot   -30.45 eV per formula unit
Calculated volume   129.2 Å³/cell

Cell lengths 6.220, 6.220, 6.220 Å; angles 132.28, 132.28, 69.78 degrees
Fractional positions:
Er 0.123 0.373 0.750
Er 0.373 0.123 0.250
Er 0.627 0.877 0.750
Er 0.877 0.627 0.250
H 0.000 0.266 0.266
H 0.000 0.734 0.734
H 0.125 0.875 0.250
H 0.266 0.000 0.766
H 0.266 0.500 0.266
H 0.500 0.266 0.766
H 0.500 0.734 0.234
H 0.734 0.000 0.234
H 0.734 0.500 0.734
H 0.875 0.125 0.750